# 1
# SmHo2Sc PBE optimized geometry
# Size of the total moment ... 0.017 μB/atom
# Volume ... 484.8 Å³/cell
# Relative energy among the computed polymorphs ... 124 meV per atom
# Energy ... -4.898 eV/atom
# ΔH_f (0 K) ... 0.154 eV per atom
data_SmHo2Sc
_chemical_formula_sum 'Sm4 Ho8 Sc4'
_cell_length_a 7.856
_cell_length_b 7.856
_cell_length_c 7.856
_cell_angle_alpha 90.00
_cell_angle_beta 90.00
_cell_angle_gamma 90.00
_symmetry_space_group_name_H-M 'F m -3 m'
_symmetry_Int_Tables_number 225
_symmetry_space_group_name_Hall '-F 4 2 3'
loop_
_atom_site_label
_atom_site_type_symbol
_atom_site_fract_x
_atom_site_fract_y
_atom_site_fract_z
_atom_site_occupancy
Sm1 Sm 0.000 0.000 0.000 1
Ho1 Ho 0.250 0.250 0.250 1
Sc1 Sc 0.000 0.000 0.500 1

# 2
# Sm3Dy2Se6 PBE optimized geometry
# Size of the total moment ... 0.000 μB/atom
# Volume ... 921.2 Å³/cell
# Energy ... -5.835 eV/atom
# Formation energy (no corrections) ... -1.811 eV/atom
data_Sm3Dy2Se6
_chemical_formula_sum 'Sm9 Dy6 Se18'
_cell_length_a 4.1575
_cell_length_b 4.1575
_cell_length_c 61.5437
_cell_angle_alpha 90.00
_cell_angle_beta 90.00
_cell_angle_gamma 120.00
_symmetry_space_group_name_H-M 'R -3 m'
_symmetry_Int_Tables_number 166
_symmetry_space_group_name_Hall '-R 3 2"'
loop_
_atom_site_label
_atom_site_type_symbol
_atom_site_fract_x
_atom_site_fract_y
_atom_site_fract_z
_atom_site_occupancy
Sm1 Sm 0.0000 0.0000 0.0000 1
Sm2 Sm 0.0000 0.0000 0.2786 1
Dy1 Dy 0.0000 0.0000 0.4472 1
Se1 Se 0.0000 0.0000 0.0839 1
Se2 Se 0.0000 0.0000 0.1971 1
Se3 Se 0.0000 0.0000 0.3610 1

# 3
# CaLa2CdNi PBE optimized geometry
# Size of the total moment ... 0.000 μB/atom
# Volume ... 175.0 Å³/cell
# Relative energy among the computed polymorphs ... 578 meV per atom
# Energy ... -3.284 eV/atom
# ΔH_f (0 K) ... 0.427 eV per atom
data_CaLa2CdNi
_chemical_formula_sum 'Ca1 La2 Cd1 Ni1'
_cell_length_a 6.035
_cell_length_b 6.035
_cell_length_c 4.805
_cell_angle_alpha 90.00
_cell_angle_beta 90.00
_cell_angle_gamma 90.00
_symmetry_space_group_name_H-M 'P 4/m m m'
_symmetry_Int_Tables_number 123
_symmetry_space_group_name_Hall '-P 4 2'
loop_
_atom_site_label
_atom_site_type_symbol
_atom_site_fract_x
_atom_site_fract_y
_atom_site_fract_z
_atom_site_occupancy
Ca1 Ca 0.000 0.000 0.000 1
La1 La 0.000 0.500 0.500 1
Cd1 Cd 0.500 0.500 0.500 1
Ni1 Ni 0.500 0.500 0.000 1

# 4
# NbCrB4 PBE optimized geometry
# Size of the total moment ... 0.117 μB/atom
# Volume ... 207.8 Å³/cell
# Energy ... -8.191 eV/atom
# ΔH_f (0 K) ... -0.457 eV per atom
data_NbCrB4
_chemical_formula_sum 'Nb4 Cr4 B16'
_cell_length_a 5.780
_cell_length_b 11.204
_cell_length_c 3.208
_cell_angle_alpha 90.00
_cell_angle_beta 90.00
_cell_angle_gamma 90.00
_symmetry_space_group_name_H-M 'P b a m'
_symmetry_Int_Tables_number 55
loop_
_symmetry_equiv_pos_as_xyz
'x,y,z'
'-x,-y,-z'
'-x,-y,z'
'x,y,-z'
'x+1/2,-y+1/2,-z'
'-x+1/2,y+1/2,z'
'-x+1/2,y+1/2,-z'
'x+1/2,-y+1/2,z'
loop_
_atom_site_label
_atom_site_type_symbol
_atom_site_fract_x
_atom_site_fract_y
_atom_site_fract_z
_atom_site_occupancy
Nb1 Nb 0.131 0.150 0.000 1
Cr1 Cr 0.134 0.412 0.000 1
B1 B 0.021 0.695 0.500 1
B2 B 0.117 0.548 0.500 1
B3 B 0.130 0.967 0.500 1
B4 B 0.206 0.811 0.500 1

# 5
# ZrAg3F8 PBE optimized geometry
# Size of the total moment ... 0.098 μB/atom
# Volume ... 170.7 Å³/cell
# Energy ... -4.787 eV/atom
# Formation energy (no corrections) ... -2.114 eV/atom
data_ZrAg3F8
_chemical_formula_sum 'Zr1 Ag3 F8'
_cell_length_a 5.548
_cell_length_b 5.548
_cell_length_c 5.548
_cell_angle_alpha 90.00
_cell_angle_beta 90.00
_cell_angle_gamma 90.00
_symmetry_space_group_name_H-M 'P m -3 m'
_symmetry_Int_Tables_number 221
_symmetry_space_group_name_Hall '-P 4 2 3'
loop_
_atom_site_label
_atom_site_type_symbol
_atom_site_fract_x
_atom_site_fract_y
_atom_site_fract_z
_atom_site_occupancy
Zr1 Zr 0.000 0.000 0.000 1
Ag1 Ag 0.000 0.500 0.500 1
F1 F 0.226 0.226 0.226 1

# 6
# Tl2TePb PBE optimized geometry
# Size of the total moment ... 0.000 μB/atom
# Volume ... 254.4 Å³/cell
# Relative energy among the computed polymorphs ... 54 meV per atom
# Energy ... -2.989 eV/atom
# Formation energy (no corrections) ... -0.094 eV/atom
data_Tl2TePb
_chemical_formula_sum 'Tl4 Te2 Pb2'
_cell_length_a 6.967
_cell_length_b 10.909
_cell_length_c 3.348
_cell_angle_alpha 90.00
_cell_angle_beta 90.26
_cell_angle_gamma 90.00
_symmetry_space_group_name_H-M 'C 1 2/m 1'
_symmetry_Int_Tables_number 12
loop_
_symmetry_equiv_pos_as_xyz
'x,y,z'
'-x,-y,-z'
'-x,y,-z'
'x,-y,z'
'x+1/2,y+1/2,z'
'-x+1/2,-y+1/2,-z'
'-x+1/2,y+1/2,-z'
'x+1/2,-y+1/2,z'
loop_
_atom_site_label
_atom_site_type_symbol
_atom_site_fract_x
_atom_site_fract_y
_atom_site_fract_z
_atom_site_occupancy
Tl1 Tl 0.250 0.250 0.000 1
Te1 Te 0.000 0.000 0.500 1
Pb1 Pb 0.000 0.500 0.500 1

# 7
# KPuHg PBE optimized geometry
# Size of the total moment ... 2.066 μB/atom
# Volume ... 193.0 Å³/cell
# Energy ... -5.074 eV/atom
# ΔH_f (0 K) ... 0.170 eV per atom
data_KPuHg
_chemical_formula_sum 'K2 Pu2 Hg2'
_cell_length_a 4.237
_cell_length_b 5.227
_cell_length_c 9.096
_cell_angle_alpha 73.36
_cell_angle_beta 89.99
_cell_angle_gamma 89.93
_symmetry_space_group_name_H-M 'P -1'
_symmetry_Int_Tables_number 2
loop_
_symmetry_equiv_pos_as_xyz
'x,y,z'
'-x,-y,-z'
loop_
_atom_site_label
_atom_site_type_symbol
_atom_site_fract_x
_atom_site_fract_y
_atom_site_fract_z
_atom_site_occupancy
K1 K 0.000 0.000 0.000 1
K2 K 0.500 0.500 0.000 1
Pu1 Pu 0.000 0.301 0.397 1
Hg1 Hg 0.500 0.163 0.676 1

# 8
# TlCrSeI2 PBE optimized geometry
# Size of the total moment ... 0.600 μB/atom
# Volume ... 161.4 Å³/cell
# Energy ... -4.012 eV/atom
# Formation energy (no corrections) ... -0.297 eV/atom
data_TlCrSeI2
_chemical_formula_sum 'Tl1 Cr1 Se1 I2'
_cell_length_a 5.831
_cell_length_b 5.831
_cell_length_c 4.746
_cell_angle_alpha 90.00
_cell_angle_beta 90.00
_cell_angle_gamma 90.00
_symmetry_space_group_name_H-M 'P 4/m m m'
_symmetry_Int_Tables_number 123
_symmetry_space_group_name_Hall '-P 4 2'
loop_
_atom_site_label
_atom_site_type_symbol
_atom_site_fract_x
_atom_site_fract_y
_atom_site_fract_z
_atom_site_occupancy
Tl1 Tl 0.000 0.000 0.000 1
Cr1 Cr 0.500 0.500 0.500 1
Se1 Se 0.500 0.500 0.000 1
I1 I 0.000 0.500 0.500 1

# 9
# TePtS2 PBE optimized geometry
# Size of the total moment ... 0.000 μB/atom
# Volume ... 341.3 Å³/cell
# Energy ... -4.191 eV/atom
# Formation energy (no corrections) ... 0.169 eV/atom
data_TePtS2
_chemical_formula_sum 'Te4 Pt4 S8'
_cell_length_a 6.763
_cell_length_b 6.763
_cell_length_c 7.461
_cell_angle_alpha 90.00
_cell_angle_beta 90.00
_cell_angle_gamma 90.00
_symmetry_space_group_name_H-M 'I -4 2 d'
_symmetry_Int_Tables_number 122
_symmetry_space_group_name_Hall 'I -4 2bw'
loop_
_atom_site_label
_atom_site_type_symbol
_atom_site_fract_x
_atom_site_fract_y
_atom_site_fract_z
_atom_site_occupancy
Te1 Te 0.000 0.000 0.000 1
Pt1 Pt 0.000 0.000 0.500 1
S1 S 0.201 0.250 0.625 1

# 10
# SmY2Er2 PBE optimized geometry
# Size of the total moment ... 0.000 μB/atom
# Volume ... 643.4 Å³/cell
# Relative energy among the computed polymorphs ... 37 meV per atom
# Energy ... -5.231 eV/atom
# ΔH_f (0 K) ... 0.123 eV per atom
data_SmY2Er2
_chemical_formula_sum 'Sm4 Y8 Er8'
_cell_length_a 12.362
_cell_length_b 5.833
_cell_length_c 9.512
_cell_angle_alpha 90.00
_cell_angle_beta 110.28
_cell_angle_gamma 90.00
_symmetry_space_group_name_H-M 'C 1 2/m 1'
_symmetry_Int_Tables_number 12
loop_
_symmetry_equiv_pos_as_xyz
'x,y,z'
'-x,-y,-z'
'-x,y,-z'
'x,-y,z'
'x+1/2,y+1/2,z'
'-x+1/2,-y+1/2,-z'
'-x+1/2,y+1/2,-z'
'x+1/2,-y+1/2,z'
loop_
_atom_site_label
_atom_site_type_symbol
_atom_site_fract_x
_atom_site_fract_y
_atom_site_fract_z
_atom_site_occupancy
Sm1 Sm 0.050 0.000 0.348 1
Y1 Y 0.053 0.500 0.864 1
Y2 Y 0.147 0.500 0.570 1
Er1 Er 0.153 0.000 0.044 1
Er2 Er 0.240 0.500 0.260 1

# 11
# Tb3HoIn3Te8 PBE optimized geometry
# Size of the total moment ... 0.000 μB/atom
# Volume ... 1580.1 Å³/cell
# Energy ... -4.465 eV/atom
# Formation energy (no corrections) ... -1.010 eV/atom
data_Tb3HoIn3Te8
_chemical_formula_sum 'Tb9 Ho3 In9 Te24'
_cell_length_a 8.7810
_cell_length_b 8.7810
_cell_length_c 23.6673
_cell_angle_alpha 90.00
_cell_angle_beta 90.00
_cell_angle_gamma 120.00
_symmetry_space_group_name_H-M 'R -3 m'
_symmetry_Int_Tables_number 166
_symmetry_space_group_name_Hall '-R 3 2"'
loop_
_atom_site_label
_atom_site_type_symbol
_atom_site_fract_x
_atom_site_fract_y
_atom_site_fract_z
_atom_site_occupancy
Tb1 Tb 0.0000 0.5000 0.0000 1
Ho1 Ho 0.0000 0.0000 0.0000 1
In1 In 0.0000 0.5000 0.5000 1
Te1 Te 0.0000 0.0000 0.2574 1
Te2 Te 0.0006 0.5003 0.7417 1

# 12
# Na2MgTl PBE optimized geometry
# Size of the total moment ... 0.000 μB/atom
# Volume ... 346.5 Å³/cell
# Energy ... -1.623 eV/atom
# ΔH_f (0 K) ... 0.027 eV per atom
data_Na2MgTl
_chemical_formula_sum 'Na6 Mg3 Tl3'
_cell_length_a 3.4618
_cell_length_b 3.4618
_cell_length_c 33.3870
_cell_angle_alpha 90.00
_cell_angle_beta 90.00
_cell_angle_gamma 120.00
_symmetry_space_group_name_H-M 'R 3 m'
_symmetry_Int_Tables_number 160
_symmetry_space_group_name_Hall 'R 3 -2"'
loop_
_atom_site_label
_atom_site_type_symbol
_atom_site_fract_x
_atom_site_fract_y
_atom_site_fract_z
_atom_site_occupancy
Na1 Na 0.0000 0.0000 0.0000 1
Na2 Na 0.0000 0.0000 0.1678 1
Mg1 Mg 0.0000 0.0000 0.4173 1
Tl1 Tl 0.0000 0.0000 0.5838 1